The following is a GGA+U calculation of crystalline TiV2TeF at its relaxed geometry, from the Alexandria database.

Properties
electronic total energy = -23.57 eV per cell
Fermi-level density of states = 7.6 states/eV/cell

POSCAR file:
```
TiV2TeF
1.0
5.271 0.000 0.000
0.000 5.271 0.000
0.000 0.000 4.235
Ti V Te F
1 2 1 1
direct
0.000 0.000 0.000
0.000 0.500 0.500
0.500 0.000 0.500
0.500 0.500 0.500
0.500 0.500 0.000
```